Below is crystalline Rb2TlHg9 at its relaxed geometry, with properties calculated at the PBE level.

Cell: 6.5467 6.5467 30.9089 Å, 90.00 90.00 120.00°
Space group R-3m (No. 166, hexagonal axes)
One atom of each set of equivalent atoms:
Rb 0.0000 0.0000 0.1391 x6
Tl 0.0000 0.0000 0.0000 x3
Hg 0.0000 0.0000 0.3355 x6
Hg 0.0000 0.0000 0.5000 x3
Hg 0.0090 0.5045 0.9176 x18

Values from the calculation:
Crystal system = trigonal
ΔE to the lowest computed polymorph = 0.0 meV per atom


Below is crystalline Rb5Tl6Hg at its relaxed geometry, with properties calculated at the PBE level.

Cell: 7.671 17.014 9.250 Å, 90.00 110.50 90.00°
Space group C2/m (No. 12)
One atom of each set of equivalent atoms:
Rb 0.000 0.000 0.000 x2
Rb 0.000 0.290 0.000 x4
Rb 0.000 0.363 0.500 x4
Tl 0.083 0.152 0.682 x8
Tl 0.146 0.500 0.190 x4
Hg 0.000 0.000 0.500 x2

Values from the calculation:
Crystal system = monoclinic


Below is crystalline Rb2TlHg10 at its relaxed geometry, with properties calculated at the PBE level.

Cell: 10.391 14.230 6.618 Å, 90.00 90.00 90.00°
Space group Pbam (No. 55)
One atom of each set of equivalent atoms:
Rb 0.231 0.081 0.000 x4
Tl 0.000 0.000 0.500 x2
Hg 0.063 0.639 0.500 x4
Hg 0.115 0.819 0.222 x8
Hg 0.153 0.207 0.500 x4
Hg 0.201 0.449 0.500 x4

Values from the calculation:
Crystal system = orthorhombic


Below is crystalline RbTl2Hg7 at its relaxed geometry, with properties calculated at the PBE level.

Cell: 6.352 27.390 3.536 Å, 90.00 90.00 90.00°
Space group Cmmm (No. 65)
One atom of each set of equivalent atoms:
Rb 0.000 0.000 0.000 x2
Tl 0.000 0.287 0.500 x4
Hg 0.000 0.188 0.000 x4
Hg 0.000 0.500 0.500 x2
Hg 0.246 0.396 0.500 x8

Values from the calculation:
Crystal system = orthorhombic
ΔE to the lowest computed polymorph = 0.0 meV per atom


Below is crystalline RbTl3Hg at its relaxed geometry, with properties calculated at the PBE level.

Cell: 6.712 6.712 6.712 Å, 90.00 90.00 90.00°
Space group Pm-3m (No. 221)
One atom of each set of equivalent atoms:
Rb 0.000 0.000 0.000 x1
Tl 0.000 0.000 0.500 x3
Hg 0.500 0.500 0.500 x1

Values from the calculation:
Crystal system = cubic
ΔE to the lowest computed polymorph = 779.4 meV per atom


Below is crystalline RbTl6Hg6 at its relaxed geometry, with properties calculated at the PBE level.

Cell: 5.964 11.611 11.637 Å, 90.00 90.00 90.00°
Space group Immm (No. 71)
One atom of each set of equivalent atoms:
Rb 0.000 0.000 0.000 x2
Tl 0.000 0.000 0.356 x4
Tl 0.000 0.281 0.500 x4
Tl 0.000 0.360 0.000 x4
Hg 0.000 0.500 0.289 x4
Hg 0.250 0.250 0.250 x8

Values from the calculation:
Crystal system = orthorhombic
ΔE to the lowest computed polymorph = 0.0 meV per atom


Below is crystalline Rb2TlHg at its relaxed geometry, with properties calculated at the PBE level.

Cell: 4.185 4.185 10.019 Å, 90.00 90.00 90.00°
Space group P4/mmm (No. 123)
One atom of each set of equivalent atoms:
Rb 0.000 0.000 0.245 x2
Tl 0.500 0.500 0.500 x1
Hg 0.500 0.500 0.000 x1

Values from the calculation:
Crystal system = tetragonal
ΔE to the lowest computed polymorph = 72.7 meV per atom


Below is crystalline Rb3Tl4Hg4 at its relaxed geometry, with properties calculated at the PBE level.

Cell: 4.714 5.301 32.880 Å, 90.00 90.00 90.00°
Space group Immm (No. 71)
One atom of each set of equivalent atoms:
Rb 0.000 0.000 0.000 x2
Rb 0.000 0.500 0.147 x4
Tl 0.000 0.000 0.256 x4
Tl 0.000 0.500 0.404 x4
Hg 0.000 0.000 0.453 x4
Hg 0.000 0.500 0.311 x4

Values from the calculation:
Crystal system = orthorhombic


| no. | ΔH_f (0 K) (meV per atom) |
| --- | --- |
| 1 | -108 |
| 2 | -61 |
| 3 | -94 |
| 4 | -64 |
| 5 | 676 |
| 6 | -48 |
| 7 | -54 |
| 8 | -132 |